Entry 1:
{
  "formula": "SmHoMg4",
  "functional": "PBE",
  "state": "relaxed",
  "lattice": [[6.912, -1.725, 0.000], [6.912, 1.725, 0.000], [-1.683, 0.000, 6.608]],
  "species": ["Sm", "Ho", "Mg", "Mg", "Mg", "Mg"],
  "fractional_positions": [[0.000, 0.000, 0.000], [0.000, 0.000, 0.500], [0.323, 0.323, 0.165], [0.325, 0.325, 0.659], [0.675, 0.675, 0.341], [0.677, 0.677, 0.835]],
  "density_g_cm3": 4.3,
  "delta_e_f_ev_per_atom": -0.04,
  "dos_ef_per_ev_atom": 1.189
}

***

Entry 2:
{
  "formula": "RuRhBr3",
  "functional": "PBE",
  "state": "relaxed",
  "lattice": [[5.036, 0.000, 0.000], [0.000, 5.036, 0.000], [0.000, 0.000, 5.036]],
  "species": ["Ru", "Rh", "Br", "Br", "Br"],
  "fractional_positions": [[0.000, 0.000, 0.000], [0.500, 0.500, 0.500], [0.000, 0.500, 0.500], [0.500, 0.000, 0.500], [0.500, 0.500, 0.000]],
  "energy_ev_per_atom": -3.513,
  "density_g_cm3": 5.8,
  "dos_ef_per_ev_atom": 2.606
}

***

Entry 3:
{
  "formula": "Zr2TaCl",
  "functional": "PBE",
  "state": "relaxed",
  "lattice": [[3.307, 0.000, 0.000], [0.000, 3.307, 0.000], [0.000, 0.000, 8.010]],
  "species": ["Zr", "Zr", "Ta", "Cl"],
  "fractional_positions": [[0.000, 0.000, 0.216], [0.000, 0.000, 0.784], [0.500, 0.500, 0.000], [0.500, 0.500, 0.500]],
  "energy_ev_per_atom": -7.948,
  "density_g_cm3": 7.6,
  "dos_ef_per_ev_atom": 0.729
}

***

Entry 4:
{
  "formula": "TbPm2Pr6Er3",
  "functional": "PBE",
  "state": "relaxed",
  "lattice": [[3.162, -5.478, 0.000], [3.162, 5.478, 0.000], [-2.102, 0.000, 11.759]],
  "species": ["Tb", "Pm", "Pm", "Pr", "Pr", "Pr", "Pr", "Pr", "Pr", "Er", "Er", "Er"],
  "fractional_positions": [[0.000, 0.000, 0.000], [0.333, 0.667, 0.000], [0.667, 0.333, 0.000], [0.084, 0.417, 0.253], [0.248, 0.248, 0.747], [0.417, 0.084, 0.253], [0.583, 0.916, 0.747], [0.752, 0.752, 0.253], [0.916, 0.583, 0.747], [0.167, 0.833, 0.500], [0.500, 0.500, 0.500], [0.833, 0.167, 0.500]],
  "density_g_cm3": 7.3,
  "delta_e_f_ev_per_atom": 0.01,
  "dos_ef_per_ev_atom": 1.170
}

***

Copy entry 1 word for word.
{
  "formula": "SmHoMg4",
  "functional": "PBE",
  "state": "relaxed",
  "lattice": [[6.912, -1.725, 0.000], [6.912, 1.725, 0.000], [-1.683, 0.000, 6.608]],
  "species": ["Sm", "Ho", "Mg", "Mg", "Mg", "Mg"],
  "fractional_positions": [[0.000, 0.000, 0.000], [0.000, 0.000, 0.500], [0.323, 0.323, 0.165], [0.325, 0.325, 0.659], [0.675, 0.675, 0.341], [0.677, 0.677, 0.835]],
  "density_g_cm3": 4.3,
  "delta_e_f_ev_per_atom": -0.04,
  "dos_ef_per_ev_atom": 1.189
}